Material: LaBe2Au2
Method: DFT, GGA-PBE
State: relaxed

abc: 4.269 4.269 9.978
angles: 90.00 90.00 90.00
Space group I4/mmm (No. 139)
Asymmetric unit:
1 La 0.000 0.000 0.000 [2 per cell]
2 Be 0.000 0.500 0.250 [4 per cell]
3 Au 0.000 0.000 0.356 [4 per cell]

Values from the calculation:
For the energy relative to the lowest polymorph listed for this composition, the calculation gives 0 meV/atom. The density of states at the Fermi level comes out at 0.45 states/eV per atom. For the formation energy, the calculation gives -0.44 eV per atom.